# 1
First-principles (PBE) data for a relaxed structure of Ba2LaCd, as listed in the Alexandria database.

Computed properties:
E, eV/cell: -19.27
ΔH_f (0 K), eV/atom: 0.01

a = 4.352 Å, b = 5.975 Å, c = 12.801 Å
α = 90.00°, β = 90.00°, γ = 90.00°
Space group Immm (No. 71)
Symmetry-distinct sites (fractional):
Ba  0.000  0.000  0.216 [4 per cell]
La  0.000  0.500  0.000 [2 per cell]
Cd  0.000  0.500  0.500 [2 per cell]

---

# 2
First-principles (PBE) data for a relaxed structure of LaPS2Br, as listed in the Alexandria database.

Computed properties:
E, eV/cell: -20.40
Raw formation energy, meV/atom: -28

a = 4.861 Å, b = 4.861 Å, c = 4.951 Å
α = 90.00°, β = 90.00°, γ = 90.00°
Space group P4/mmm (No. 123)
Symmetry-distinct sites (fractional):
La  0.000  0.000  0.000 [1 per cell]
P  0.500  0.500  0.000 [1 per cell]
S  0.000  0.500  0.500 [2 per cell]
Br  0.500  0.500  0.500 [1 per cell]

---

# 3
First-principles (PBE) data for a relaxed structure of LiDy2Au2, as listed in the Alexandria database.

Computed properties:
E, eV/cell: -42.22
ΔH_f (0 K), eV/atom: -0.69

a = 7.991 Å, b = 7.991 Å, c = 3.723 Å
α = 90.00°, β = 90.00°, γ = 90.00°
Space group P4/mbm (No. 127)
Symmetry-distinct sites (fractional):
Li  0.000  0.000  0.000 [2 per cell]
Dy  0.161  0.339  0.500 [4 per cell]
Au  0.138  0.638  0.000 [4 per cell]

---

# 4
First-principles (PBE) data for a relaxed structure of EuNpNi2, as listed in the Alexandria database.

Computed properties:
E, eV/cell: -34.53
ΔH_f (0 K), eV/atom: 0.06

a = 3.398 Å, b = 3.398 Å, c = 6.966 Å
α = 90.00°, β = 90.00°, γ = 90.00°
Space group P4/mmm (No. 123)
Symmetry-distinct sites (fractional):
Eu  0.000  0.000  0.000 [1 per cell]
Np  0.000  0.000  0.500 [1 per cell]
Ni  0.500  0.500  0.303 [2 per cell]

---

# 5
First-principles (PBE) data for a relaxed structure of OsSeIBr2, as listed in the Alexandria database.

Computed properties:
E, eV/cell: -17.27
Raw formation energy, meV/atom: 469

a = 5.216 Å, b = 5.216 Å, c = 4.760 Å
α = 90.00°, β = 90.00°, γ = 90.00°
Space group P4/mmm (No. 123)
Symmetry-distinct sites (fractional):
Os  0.000  0.000  0.000 [1 per cell]
Se  0.000  0.000  0.500 [1 per cell]
I  0.500  0.500  0.500 [1 per cell]
Br  0.000  0.500  0.000 [2 per cell]

---

# 6
First-principles (PBE) data for a relaxed structure of K2RbBrCl, as listed in the Alexandria database.

Computed properties:
E, eV/cell: -12.81
Raw formation energy, meV/atom: -1225

a = 6.071 Å, b = 6.071 Å, c = 6.566 Å
α = 90.00°, β = 90.00°, γ = 90.00°
Space group P4/mmm (No. 123)
Symmetry-distinct sites (fractional):
K  0.000  0.500  0.000 [2 per cell]
Rb  0.000  0.000  0.500 [1 per cell]
Br  0.500  0.500  0.500 [1 per cell]
Cl  0.000  0.000  0.000 [1 per cell]

---

# 7
First-principles (PBE) data for a relaxed structure of KZr3Tl, as listed in the Alexandria database.

Computed properties:
E, eV/cell: -22.91
ΔH_f (0 K), eV/atom: 1.24

a = 5.554 Å, b = 5.554 Å, c = 5.554 Å
α = 90.00°, β = 90.00°, γ = 90.00°
Space group Pm-3m (No. 221)
Symmetry-distinct sites (fractional):
K  0.000  0.000  0.000 [1 per cell]
Zr  0.000  0.500  0.500 [3 per cell]
Tl  0.500  0.500  0.500 [1 per cell]

---

# 8
First-principles (PBE) data for a relaxed structure of LaNiRh3, as listed in the Alexandria database.

Computed properties:
E, eV/cell: -25.61
ΔH_f (0 K), eV/atom: 1.43

a = 4.845 Å, b = 4.845 Å, c = 4.845 Å
α = 90.00°, β = 90.00°, γ = 90.00°
Space group Pm-3m (No. 221)
Symmetry-distinct sites (fractional):
La  0.000  0.000  0.000 [1 per cell]
Ni  0.500  0.500  0.500 [1 per cell]
Rh  0.000  0.000  0.500 [3 per cell]

---

# 9
First-principles (PBE) data for a relaxed structure of LaAlBr2, as listed in the Alexandria database.

Computed properties:
E, eV/cell: -15.22
Raw formation energy, meV/atom: -801

a = 3.918 Å, b = 5.024 Å, c = 5.964 Å
α = 90.00°, β = 90.77°, γ = 90.00°
Space group P2/m (No. 10)
Symmetry-distinct sites (fractional):
La  0.000  0.000  0.000 [1 per cell]
Al  0.500  0.000  0.500 [1 per cell]
Br  0.243  0.500  0.252 [2 per cell]

---

# 10
First-principles (PBE) data for a relaxed structure of YBe2TcGe2, as listed in the Alexandria database.

Computed properties:
E, eV/cell: -35.52
ΔH_f (0 K), eV/atom: -0.33

a = 3.9740 Å, b = 3.9740 Å, c = 6.6522 Å
α = 90.00°, β = 90.00°, γ = 120.00°
Space group P-3m1 (No. 164)
Symmetry-distinct sites (fractional):
Y  0.0000  0.0000  0.0000 [1 per cell]
Be  0.3333  0.6667  0.3545 [2 per cell]
Tc  0.0000  0.0000  0.5000 [1 per cell]
Ge  0.3333  0.6667  0.7259 [2 per cell]